# 1
{"formula": "Co2ReHgN", "functional": "GGA-PBE", "state": "relaxed", "n_ef_per_ev_atom": 0.8177, "sg": "P4/mmm", "volume_a3_per_fu": 63.3, "raw_formation_energy_ev_per_atom": 0.306, "dft_energy_ev_per_cell": -33.76, "lattice_angstrom": [[3.986, 0.000, 0.000], [0.000, 3.986, 0.000], [0.000, 0.000, 3.981]], "species": ["Co", "Co", "Re", "Hg", "N"], "frac_coords": [[0.000, 0.500, 0.000], [0.500, 0.000, 0.000], [0.000, 0.000, 0.500], [0.500, 0.500, 0.500], [0.000, 0.000, 0.000]]}

---

# 2
{"formula": "Mn2Be", "functional": "GGA-PBE", "state": "relaxed", "n_ef_per_ev_atom": 0.8850, "sg": "I4/mcm", "delta_e_f_mev_per_atom": -95, "volume_a3_per_fu": 28.5, "dft_energy_ev_per_cell": -44.70, "lattice_angstrom": [[-2.600, 2.600, 2.106], [2.600, -2.600, 2.106], [2.600, 2.600, -2.106]], "species": ["Mn", "Mn", "Mn", "Mn", "Be", "Be"], "frac_coords": [[0.155, 0.655, 0.811], [0.345, 0.155, 0.500], [0.655, 0.845, 0.500], [0.845, 0.345, 0.189], [0.250, 0.250, 0.000], [0.750, 0.750, 0.000]]}

---

# 3
{"formula": "Ho3Er3Sc5", "functional": "GGA-PBE", "state": "relaxed", "n_ef_per_ev_atom": 1.5244, "sg": "P-62m", "delta_e_f_mev_per_atom": 835, "volume_a3_per_fu": 377.2, "dft_energy_ev_per_cell": -49.89, "lattice_angstrom": [[9.020, 0.000, 0.000], [-4.510, 7.812, 0.000], [0.000, 0.000, 5.353]], "species": ["Ho", "Ho", "Ho", "Er", "Er", "Er", "Sc", "Sc", "Sc", "Sc", "Sc"], "frac_coords": [[0.000, 0.380, 0.000], [0.380, 0.000, 0.000], [0.620, 0.620, 0.000], [0.000, 0.598, 0.500], [0.402, 0.402, 0.500], [0.598, 0.000, 0.500], [0.000, 0.755, 0.000], [0.245, 0.245, 0.000], [0.333, 0.667, 0.000], [0.667, 0.333, 0.000], [0.755, 0.000, 0.000]]}